No. 1
KPtBr2: relaxed, GGA-PBE.

a = 7.1904 Å, b = 7.1904 Å, c = 7.1904 Å
α = 47.40°, β = 47.40°, γ = 47.40°
Last column: nearest neighbours and their distance in Å.
Fractional positions:
K 0.0000 0.0000 0.0000  6 Br 3.44
Pt 0.5000 0.5000 0.5000  2 Br 2.35
Br 0.3770 0.3770 0.3770  1 Pt 2.35
Br 0.6230 0.6230 0.6230  1 Pt 2.35

Properties
Uncorrected energy (eV per atom): -3.0973
Fermi-level density of states (states/eV per atom): 0.707
Formation energy (no corrections) (kJ per mole of atoms): -46.0
Crystal system: trigonal
Relative energy among the computed polymorphs (meV/atom): 176

=====

No. 2
KPtBr3: relaxed, GGA-PBE.

a = 5.2546 Å, b = 5.2546 Å, c = 5.2546 Å
α = 90.00°, β = 90.00°, γ = 90.00°
Last column: nearest neighbours and their distance in Å.
Fractional positions:
K 0.0000 0.0000 0.0000  12 Br 3.72
Pt 0.5000 0.5000 0.5000  6 Br 2.63
Br 0.0000 0.5000 0.5000  2 Pt 2.63
Br 0.5000 0.0000 0.5000  2 Pt 2.63
Br 0.5000 0.5000 0.0000  2 Pt 2.63

Properties
Uncorrected energy (eV per atom): -3.1632
Fermi-level density of states (states/eV per atom): 0.409
Formation energy (no corrections) (kJ per mole of atoms): -70.6
Crystal system: cubic
Relative energy among the computed polymorphs (meV/atom): 0

=====

No. 3
KPtBr2: relaxed, GGA-PBE.

a = 3.8746 Å, b = 3.8746 Å, c = 7.4892 Å
α = 90.00°, β = 90.00°, γ = 90.00°
Last column: nearest neighbours and their distance in Å.
Fractional positions:
K 0.0000 0.0000 0.0000  5 Br 3.12-3.17
Pt 0.5000 0.5000 0.4384  5 Br 2.71-2.74
Br 0.0000 0.0000 0.4239  4 Pt 2.74
Br 0.5000 0.5000 0.7998  1 Pt 2.71

Properties
Uncorrected energy (eV per atom): -3.0236
Fermi-level density of states (states/eV per atom): 0.921
Formation energy (no corrections) (kJ per mole of atoms): -38.8
Crystal system: tetragonal
Relative energy among the computed polymorphs (meV/atom): 250